{"formula": "PtSNCl2", "functional": "PBE-GGA", "state": "relaxed", "raw_formation_energy_ev_per_atom": 1.441, "polymorph_energy_mev_per_atom": 0, "density_g_cm3": 6.55, "lattice_angstrom": [[4.128, 0.000, 0.000], [0.000, 4.128, 0.000], [0.000, 0.000, 4.643]], "species": ["Pt", "S", "N", "Cl", "Cl"], "frac_coords": [[0.000, 0.000, 0.000], [0.500, 0.500, 0.000], [0.500, 0.500, 0.500], [0.000, 0.500, 0.500], [0.500, 0.000, 0.500]]}